# 1
The following is a PBE calculation of KLa2Cl after structural relaxation, from Alexandria.

Properties
formation energy from raw total energies = -0.309 eV/atom
energy above the lowest structure with this stoichiometry = 0.379 eV/atom
total energy = -3.509 eV/atom
total moment = 0.0 μB per formula unit
N(E_F) = 1.18 states/eV per atom

a b c (Å): 5.6039 7.6144 3.6680
angles (deg): 75.77 90.76 111.79
Closest atoms and distances in Å follow each position.
Sites, in units of the cell vectors:
K (0.5000, 0.5000, 0.0000)  4 Cl 3.33-3.37, 2 K 3.67
Cl (0.0000, 0.5000, 0.5000)  4 K 3.33-3.37, 2 Cl 3.67
La (0.5000, 0.0000, 0.5000)  6 La 3.33-3.67
La (0.0000, 0.0000, 0.0000)  6 La 3.33-3.67

# 2
The following is a PBE calculation of K2LaCl6 after structural relaxation, from Alexandria.

Properties
formation energy from raw total energies = -1.870 eV/atom
total energy = -3.892 eV/atom
total moment = 1.1 μB per formula unit
N(E_F) = 1.02 states/eV per atom

a b c (Å): 4.4694 8.1327 8.1757
angles (deg): 119.83 90.00 90.00
Closest atoms and distances in Å follow each position.
Sites, in units of the cell vectors:
Cl (0.5000, 0.3585, 0.3600)  1 La 2.93
Cl (0.0000, 0.9990, 0.2392)  2 La 2.98, 2 K 3.17
Cl (0.5000, 0.9985, 0.6400)  1 La 2.93
Cl (0.0000, 0.2428, 0.0000)  2 La 2.97, 2 K 3.16
Cl (0.5000, 0.6423, 0.0000)  1 La 2.93
Cl (0.0000, 0.7597, 0.7608)  2 La 2.98, 2 K 3.17
K (0.0000, 0.6663, 0.3355)  9 Cl 3.16-3.47
K (0.0000, 0.3308, 0.6645)  9 Cl 3.16-3.47
La (0.5000, 0.0021, 0.0000)  9 Cl 2.93-2.98

# 3
The following is a PBE calculation of KLa4Cl after structural relaxation, from Alexandria.

Properties
formation energy from raw total energies = 0.301 eV/atom
total energy = -3.475 eV/atom
total moment = 2.2 μB per formula unit
N(E_F) = 1.93 states/eV per atom

a b c (Å): 6.9853 6.9853 6.9853
angles (deg): 60.00 60.00 60.00
Closest atoms and distances in Å follow each position.
Sites, in units of the cell vectors:
La (0.8915, 0.3695, 0.3695)  6 La 3.34-3.65
La (0.3695, 0.8915, 0.3695)  6 La 3.34-3.65
La (0.3695, 0.3695, 0.3695)  6 La 3.34-3.65
La (0.3695, 0.3695, 0.8915)  6 La 3.34-3.65
Cl (0.7500, 0.7500, 0.7500)  12 La 4.11, 4 K 4.28
K (0.0000, 0.0000, 0.0000)  12 La 4.08, 4 Cl 4.28

# 4
The following is a PBE calculation of KLa2Cl after structural relaxation, from Alexandria.

Properties
formation energy from raw total energies = -0.638 eV/atom
energy above the lowest structure with this stoichiometry = 0.051 eV/atom
total energy = -3.838 eV/atom
total moment = 0.1 μB per formula unit
N(E_F) = 1.52 states/eV per atom

a b c (Å): 3.6462 3.6462 10.6864
angles (deg): 90.00 90.00 90.00
Closest atoms and distances in Å follow each position.
Sites, in units of the cell vectors:
La (0.0000, 0.0000, 0.0311)  8 La 3.65-3.78
La (0.5000, 0.5000, 0.2896)  4 Cl 3.38, 8 La 3.65-3.78
K (0.5000, 0.5000, 0.6849)  4 Cl 3.29, 4 K 3.65
Cl (0.0000, 0.0000, 0.4944)  4 K 3.29, 4 La 3.38, 4 Cl 3.65

# 5
The following is a PBE calculation of KLa2Cl after structural relaxation, from Alexandria.

Properties
formation energy from raw total energies = -0.227 eV/atom
energy above the lowest structure with this stoichiometry = 0.462 eV/atom
total energy = -3.427 eV/atom
total moment = 0.0 μB per formula unit
N(E_F) = 1.72 states/eV per atom

a b c (Å): 7.5920 4.5400 4.5400
angles (deg): 90.00 90.00 90.00
Closest atoms and distances in Å follow each position.
Sites, in units of the cell vectors:
K (0.5000, 0.0000, 0.5000)  4 Cl 3.21
Cl (0.5000, 0.5000, 0.0000)  4 K 3.21
La (0.0000, 0.0000, 0.0000)  4 La 3.21
La (0.0000, 0.5000, 0.5000)  4 La 3.21

# 6
The following is a PBE calculation of KLa3Cl after structural relaxation, from Alexandria.

Properties
formation energy from raw total energies = 0.871 eV/atom
energy above the lowest structure with this stoichiometry = 1.177 eV/atom
total energy = -2.675 eV/atom
total moment = 0.0 μB per formula unit
N(E_F) = 1.58 states/eV per atom

a b c (Å): 5.8605 5.8605 5.8605
angles (deg): 90.00 90.00 90.00
Closest atoms and distances in Å follow each position.
Sites, in units of the cell vectors:
La (0.0000, 0.5000, 0.0000)  2 K 2.93
La (0.0000, 0.0000, 0.5000)  2 K 2.93
La (0.5000, 0.0000, 0.0000)  2 K 2.93
K (0.0000, 0.0000, 0.0000)  6 La 2.93
Cl (0.5000, 0.5000, 0.5000)  12 La 4.14